[1]
First-principles (PBE) data for a geometry-optimized CsRbFe2Cl6 structure, as listed in Alexandria.

Values from the calculation:
Raw total energy   -4.2114 eV per atom

abc: 9.975 9.975 7.246
angles: 97.26 97.26 90.78
Atoms (fractional coordinates):
1 Cs 0.822 0.178 0.750
2 Cs 0.178 0.822 0.250
3 Cl 0.530 0.714 0.185
4 Cl 0.366 0.919 0.689
5 Cl 0.919 0.366 0.189
6 Cl 0.823 0.870 0.975
7 Cl 0.714 0.530 0.685
8 Cl 0.130 0.177 0.525
9 Cl 0.177 0.130 0.025
10 Cl 0.081 0.634 0.811
11 Cl 0.286 0.470 0.315
12 Cl 0.870 0.823 0.475
13 Cl 0.634 0.081 0.311
14 Cl 0.470 0.286 0.815
15 Fe 0.869 0.703 0.733
16 Fe 0.131 0.297 0.267
17 Fe 0.297 0.131 0.767
18 Fe 0.703 0.869 0.233
19 Rb 0.398 0.602 0.750
20 Rb 0.602 0.398 0.250



[2]
First-principles (PBE) data for a geometry-optimized CsRb2FeCl6 structure, as listed in Alexandria.

Values from the calculation:
Raw total energy   -3.5937 eV per atom

abc: 7.774 7.774 7.774
angles: 60.00 60.00 90.00
Atoms (fractional coordinates):
1 Cl 0.708 0.708 0.584
2 Cl 0.292 0.292 0.000
3 Cl 0.708 0.708 0.000
4 Cl 0.708 0.292 0.000
5 Cl 0.292 0.708 0.000
6 Cl 0.292 0.292 0.416
7 Rb 0.250 0.750 0.500
8 Rb 0.750 0.250 0.500
9 Cs 0.000 0.000 0.000
10 Fe 0.500 0.500 0.000



[3]
First-principles (PBE) data for a geometry-optimized CsRbFeCl4 structure, as listed in Alexandria.

Values from the calculation:
Raw total energy   -3.9973 eV per atom

abc: 7.267 7.419 9.696
angles: 90.00 109.20 90.00
Atoms (fractional coordinates):
1 Cl 0.411 0.750 0.156
2 Cl 0.997 0.494 0.758
3 Cl 0.003 0.506 0.242
4 Cl 0.626 0.250 0.456
5 Cl 0.997 0.006 0.758
6 Cl 0.374 0.750 0.544
7 Cl 0.589 0.250 0.844
8 Cl 0.003 0.994 0.242
9 Fe 0.791 0.250 0.703
10 Fe 0.209 0.750 0.297
11 Cs 0.300 0.250 0.080
12 Cs 0.700 0.750 0.920
13 Rb 0.792 0.750 0.460
14 Rb 0.208 0.250 0.540



no.,calculated volume (A^3/atom),D(E_F) (states/eV per cell)
1,35.45,19.94
2,33.22,28.48
3,35.27,13.46